Entry 1:
The following is a DFT calculation (PBE+U) of a relaxed structure of Li4MnCo2O7.

Properties
V in Å³/cell: 286.8
Total DFT energy (no corrections) in eV per atom: -5.58
Total moment in μB per atom: 0.715
Excess energy over the best structure of this formula in the dataset in meV per atom: 304

a b c (Å): 5.9619 7.1924 8.0245
angles (deg): 107.94 114.98 95.21
Last column: magnetic moment on the atom in μB.
Fractional coordinates of all 28 atoms:
O: 0.3847 0.2277 0.6275  0.09
O: 0.1609 0.7886 0.3797  0.14
O: 0.0819 0.9130 0.2475  0.08
O: 0.8149 0.2113 0.6096  0.09
O: 0.9526 0.6681 0.5942  0.06
O: 0.6373 0.7901 0.3270  0.10
O: 0.5378 0.9142 0.1969  0.07
O: 0.9190 0.3063 0.2776  0.03
O: 0.7322 0.9934 0.9018  -0.01
O: 0.2226 0.6437 0.6955  0.02
O: 0.2086 0.0787 0.9177  0.00
O: 0.0705 0.5004 0.9721  0.11
O: 0.4030 0.3596 0.3094  0.07
O: 0.6355 0.4983 0.9922  0.08
Li: 0.7075 0.7860 0.0156  0.01
Li: 0.3505 0.9175 0.7066  0.00
Li: 0.7708 0.3945 0.4777  0.00
Li: 0.2631 0.4244 0.5028  0.00
Li: 0.5791 0.1442 0.0721  0.00
Li: 0.1769 0.7744 0.9292  0.01
Li: 0.9169 0.0767 0.3896  0.00
Li: 0.8584 0.9445 0.6954  0.00
Mn: 0.0570 0.1799 0.0912  3.88
Mn: 0.2391 0.3337 0.8232  4.58
Co: 0.8378 0.5812 0.2916  2.65
Co: 0.3149 0.6026 0.2538  2.64
Co: 0.7291 0.3613 0.8077  2.01
Co: 0.4375 0.0859 0.3948  2.69

Entry 2:
The following is a DFT calculation (PBE+U) of a relaxed structure of Li4MnCo2O7.

Properties
V in Å³/cell: 242.5
Total DFT energy (no corrections) in eV per atom: -5.81
Total moment in μB per atom: 0.358
Excess energy over the best structure of this formula in the dataset in meV per atom: 69

a b c (Å): 2.9112 6.4315 13.4008
angles (deg): 96.46 85.65 103.10
Last column: magnetic moment on the atom in μB.
Fractional coordinates of all 28 atoms:
Co: 0.0811 0.2811 0.1374  0.93
Co: 0.3186 0.4284 0.7209  0.01
Co: 0.9189 0.7189 0.8626  0.93
Co: 0.6814 0.5716 0.2791  0.01
O: 0.9579 0.9946 0.1099  0.14
O: 0.4604 0.7284 0.7646  -0.04
O: 0.8693 0.4550 0.6232  -0.02
O: 0.2216 0.5879 0.1843  -0.01
O: 0.8492 0.8796 0.3185  0.03
O: 0.6463 0.3238 0.0490  -0.03
O: 0.7784 0.4121 0.8157  -0.01
O: 0.3875 0.1724 0.4658  0.02
O: 0.1307 0.5450 0.3768  -0.02
O: 0.6125 0.8276 0.5342  0.02
O: 0.3537 0.6762 0.9510  -0.03
O: 0.0421 0.0054 0.8901  0.14
O: 0.5396 0.2716 0.2354  -0.04
O: 0.1508 0.1204 0.6815  0.03
Li: 0.6063 0.0655 0.7936  0.01
Li: 0.5000 0.0000 0.0000  0.01
Li: 0.9610 0.2176 0.3541  0.00
Li: 0.0390 0.7824 0.6459  0.00
Li: 0.1936 0.3407 0.9309  0.00
Li: 0.3937 0.9345 0.2064  0.01
Li: 0.8064 0.6593 0.0691  0.00
Li: 0.5000 0.5000 0.5000  0.00
Mn: 0.2380 0.8556 0.4237  3.84
Mn: 0.7620 0.1444 0.5763  3.84

Entry 3:
The following is a DFT calculation (PBE+U) of a relaxed structure of Li7Mn4CoO12.

Properties
V in Å³/cell: 217.7
Total DFT energy (no corrections) in eV per atom: -6.17
Total moment in μB per atom: 0.583
Excess energy over the best structure of this formula in the dataset in meV per atom: 60

a b c (Å): 14.7616 14.7616 5.2249
angles (deg): 82.16 82.16 11.13
Last column: magnetic moment on the atom in μB.
Fractional coordinates of all 24 atoms:
O: 0.1325 0.1325 0.8611  -0.07
O: 0.0392 0.0392 0.6692  -0.23
O: 0.7928 0.7928 0.8853  0.00
O: 0.2941 0.2941 0.3880  0.01
O: 0.3724 0.3724 0.5951  0.00
O: 0.5386 0.5386 0.1222  -0.08
O: 0.4639 0.4639 0.8783  -0.08
O: 0.9621 0.9621 0.3305  -0.23
O: 0.7038 0.7038 0.6241  -0.01
O: 0.2009 0.2009 0.1562  -0.05
O: 0.8706 0.8706 0.0953  -0.01
O: 0.6291 0.6291 0.3957  -0.02
Mn: 0.8344 0.8344 0.4856  3.81
Mn: 0.3328 0.3328 0.9860  3.83
Mn: 0.6655 0.6655 0.0123  3.77
Mn: 0.0010 0.0010 0.0009  3.14
Li: 0.5802 0.5802 0.7726  0.00
Li: 0.9253 0.9253 0.6975  0.00
Li: 0.7487 0.7487 0.2640  0.00
Li: 0.4213 0.4213 0.2171  0.00
Li: 0.2502 0.2502 0.7329  0.00
Li: 0.0745 0.0745 0.3191  -0.01
Li: 0.5001 0.5001 0.5009  0.01
Co: 0.1661 0.1661 0.5102  0.01

Entry 4:
The following is a DFT calculation (PBE+U) of a relaxed structure of Li7Mn4CoO12.

Properties
V in Å³/cell: 210.1
Total DFT energy (no corrections) in eV per atom: -6.14
Total moment in μB per atom: 0.499
Excess energy over the best structure of this formula in the dataset in meV per atom: 96

a b c (Å): 5.0111 5.0824 8.7243
angles (deg): 105.82 90.84 99.93
Last column: magnetic moment on the atom in μB.
Fractional coordinates of all 24 atoms:
O: 0.3628 0.2217 0.3831  -0.01
O: 0.1202 0.7795 0.8026  -0.06
O: 0.8737 0.2264 0.8747  -0.07
O: 0.3595 0.2343 0.7131  0.06
O: 0.1083 0.7758 0.1305  -0.07
O: 0.3588 0.2299 0.0320  -0.03
O: 0.6404 0.7747 0.9523  -0.02
O: 0.1317 0.7801 0.4627  -0.10
O: 0.6493 0.7573 0.2969  0.08
O: 0.6274 0.7867 0.6292  -0.01
O: 0.8980 0.2213 0.2039  -0.07
O: 0.8685 0.2195 0.5267  -0.09
Mn: 0.9995 0.0053 0.6676  2.04
Mn: 0.4968 0.0063 0.8383  2.02
Mn: 0.0002 0.0022 0.0024  3.15
Mn: 0.9984 0.9922 0.3294  3.14
Li: 0.5022 0.9947 0.1652  0.01
Li: 0.7413 0.5014 0.7542  0.00
Li: 0.2707 0.4944 0.2429  0.00
Li: 0.7363 0.5059 0.0856  0.00
Li: 0.2587 0.5005 0.5831  0.00
Li: 0.7430 0.4854 0.4077  0.00
Li: 0.2551 0.5076 0.9218  0.00
Co: 0.4993 0.9969 0.4940  1.86

Entry 5:
The following is a DFT calculation (PBE+U) of a relaxed structure of Li2Mn2CoO6.

Properties
V in Å³/cell: 223.7
Total DFT energy (no corrections) in eV per atom: -6.40
Total moment in μB per atom: 0.909
Excess energy over the best structure of this formula in the dataset in meV per atom: 0

a b c (Å): 5.9994 6.5483 6.0657
angles (deg): 76.89 92.46 105.45
Last column: magnetic moment on the atom in μB.
Fractional coordinates of all 22 atoms:
Mn: 0.6696 0.6634 0.8332  3.18
Mn: 0.0087 0.9976 0.0016  3.90
Mn: 0.6577 0.6689 0.3317  3.90
Mn: 0.9969 0.0031 0.5001  3.18
O: 0.2154 0.0223 0.2643  -0.09
O: 0.4249 0.6479 0.6165  0.18
O: 0.4511 0.6441 0.0691  -0.09
O: 0.7560 0.9825 0.2797  -0.01
O: 0.7835 0.9869 0.7436  -0.08
O: 0.5600 0.3512 0.4022  0.04
O: 0.5914 0.3578 0.9016  0.13
O: 0.9106 0.6841 0.0536  -0.01
O: 0.2416 0.0186 0.7169  0.18
O: 0.0752 0.3087 0.4317  0.13
O: 0.1065 0.3153 0.9312  0.04
O: 0.8830 0.6796 0.5896  -0.08
Li: 0.8337 0.3337 0.6666  0.01
Li: 0.8338 0.3337 0.1665  0.01
Li: 0.1863 0.6794 0.8445  0.01
Li: 0.4806 0.9878 0.4891  0.01
Co: 0.3333 0.3332 0.1667  1.97
Co: 0.3333 0.3333 0.6667  3.10

Entry 6:
The following is a DFT calculation (PBE+U) of a relaxed structure of LiMnCo3O8.

Properties
V in Å³/cell: 280.8
Total DFT energy (no corrections) in eV per atom: -6.03
Total moment in μB per atom: 0.383
Excess energy over the best structure of this formula in the dataset in meV per atom: 0

a b c (Å): 5.6821 5.9767 9.8439
angles (deg): 106.52 89.85 117.58
Last column: magnetic moment on the atom in μB.
Fractional coordinates of all 26 atoms:
Mn: 0.0000 0.0028 0.0021  3.21
Mn: 0.5005 0.9965 0.4972  3.21
Co: 0.5002 0.0019 0.0010  1.16
Co: 0.7505 0.0000 0.2497  0.00
Co: 0.2489 0.0015 0.2506  1.13
Co: 0.0000 0.9981 0.4994  0.01
Co: 0.2497 0.0004 0.7496  1.17
Co: 0.7507 0.9999 0.7496  1.17
O: 0.0962 0.1985 0.8625  -0.09
O: 0.6571 0.8004 0.3807  -0.05
O: 0.9073 0.8048 0.1344  -0.08
O: 0.0935 0.1843 0.3645  -0.01
O: 0.9087 0.8119 0.6376  -0.05
O: 0.1504 0.8006 0.3789  -0.08
O: 0.4087 0.8161 0.1319  -0.03
O: 0.5912 0.1877 0.8644  -0.05
O: 0.1588 0.8049 0.8817  -0.08
O: 0.4033 0.8004 0.6366  -0.09
O: 0.8485 0.1946 0.6201  -0.07
O: 0.3428 0.1945 0.6206  -0.06
O: 0.6504 0.8048 0.8823  -0.09
O: 0.5939 0.1972 0.3653  -0.07
O: 0.8405 0.1998 0.1169  -0.08
O: 0.3519 0.2008 0.1185  -0.09
Li: 0.2446 0.4934 0.7379  0.00
Li: 0.7515 0.5043 0.2659  -0.01

Entry 7:
The following is a DFT calculation (PBE+U) of a relaxed structure of Li4MnCo2O7.

Properties
V in Å³/cell: 245.1
Total DFT energy (no corrections) in eV per atom: -5.81
Total moment in μB per atom: 0.430
Excess energy over the best structure of this formula in the dataset in meV per atom: 69

a b c (Å): 6.5077 6.5077 14.3657
angles (deg): 69.49 69.49 25.58
Last column: magnetic moment on the atom in μB.
Fractional coordinates of all 28 atoms:
O: 0.1584 0.1584 0.5228  -0.05
O: 0.8441 0.8441 0.4705  -0.02
O: 0.7039 0.7039 0.1767  0.02
O: 0.2784 0.2784 0.3371  -0.03
O: 0.8702 0.8702 0.9646  0.03
O: 0.9998 0.9998 0.7490  0.15
O: 0.2890 0.2890 0.8080  -0.01
O: 0.1293 0.1293 0.0486  -0.09
O: 0.4104 0.4104 0.6138  -0.06
O: 0.5693 0.5693 0.9101  -0.05
O: 0.4396 0.4396 0.1007  -0.08
O: 0.5831 0.5831 0.4001  0.12
O: 0.7210 0.7210 0.6599  0.08
O: 0.0046 0.0046 0.2401  -0.07
Li: 0.0022 0.0022 0.4983  0.01
Li: 0.8407 0.8407 0.2245  0.00
Li: 0.1464 0.1464 0.7699  0.01
Li: 0.4316 0.4316 0.3632  0.00
Li: 0.2833 0.2833 0.0759  0.01
Li: 0.5685 0.5685 0.6469  0.01
Li: 0.1431 0.1431 0.2904  0.01
Li: 0.7259 0.7259 0.9194  0.00
Mn: 0.9993 0.9993 0.0013  3.27
Mn: 0.5746 0.5746 0.1505  3.11
Co: 0.8546 0.8546 0.7121  1.95
Co: 0.7117 0.7117 0.4272  1.00
Co: 0.2846 0.2846 0.5675  -0.02
Co: 0.4324 0.4324 0.8509  2.63

Entry 8:
The following is a DFT calculation (PBE+U) of a relaxed structure of Li5Mn5Co2O12.

Properties
V in Å³/cell: 223.8
Total DFT energy (no corrections) in eV per atom: -6.43
Total moment in μB per atom: 0.833

a b c (Å): 5.1192 5.1192 9.8611
angles (deg): 85.44 85.44 118.74
Last column: magnetic moment on the atom in μB.
Fractional coordinates of all 24 atoms:
Mn: 0.4223 0.5777 0.5000  3.43
Mn: 0.4739 0.9849 0.2557  4.28
Mn: 0.0151 0.5261 0.7443  4.28
Mn: 0.5813 0.4187 0.0000  4.00
Mn: 0.9189 0.0811 0.0000  2.10
O: 0.1866 0.0201 0.1226  0.05
O: 0.5502 0.7182 0.1062  -0.02
O: 0.4558 0.3000 0.3823  0.00
O: 0.7000 0.5442 0.6177  0.00
O: 0.1413 0.6169 0.3796  -0.05
O: 0.9799 0.8134 0.8774  0.05
O: 0.6648 0.1652 0.8766  -0.08
O: 0.8348 0.3352 0.1234  -0.08
O: 0.7519 0.9288 0.3827  -0.02
O: 0.0712 0.2481 0.6173  -0.02
O: 0.3831 0.8587 0.6204  -0.05
O: 0.2818 0.4498 0.8938  -0.02
Li: 0.8265 0.6561 0.2570  0.00
Li: 0.1430 0.3087 0.2612  0.00
Li: 0.6913 0.8570 0.7388  0.00
Li: 0.3439 0.1735 0.7430  0.00
Li: 0.0820 0.9180 0.5000  0.00
Co: 0.2477 0.7523 0.0000  -0.94
Co: 0.7510 0.2490 0.5000  2.60